1.
Density functional theory data (PBE) for crystalline GaFeCuMo at its relaxed geometry.

The space group is F-43m (No. 216) and the conventional cell measures 6.002, 6.002 and 6.002 Å, with angles of 90.00, 90.00 and 90.00 degrees. Symmetry generates all atoms from Ga at (0.000, 0.000, 0.000), Fe at (0.250, 0.250, 0.750), Cu at (0.000, 0.000, 0.500) and Mo at (0.250, 0.250, 0.250).



2.
Density functional theory data (PBE) for crystalline GaFeCuMo at its relaxed geometry.

The space group is F-43m (No. 216) and the conventional cell measures 5.926, 5.926 and 5.926 Å, with angles of 90.00, 90.00 and 90.00 degrees. Symmetry generates all atoms from Ga at (0.000, 0.000, 0.000), Fe at (0.250, 0.250, 0.750), Cu at (0.250, 0.250, 0.250) and Mo at (0.000, 0.000, 0.500).



What should be chosen as the least stable of them? Choose 1.